(1)
Density functional theory data (GGA-PBE) for an optimized crystal structure of Y3In5Se12.

Unit cell a=16.4993 b=16.4993 c=16.4993 alpha=90.00 beta=90.00 gamma=90.00
Space group Ia-3d (No. 230)
One atom of each set of equivalent atoms:
Y 0.0000 0.2500 0.1250
In 0.0000 0.0000 0.0000
In 0.0000 0.2500 0.3750
Se 0.0204 0.0658 0.6525

- ΔE_f (raw) (eV per atom) = -0.967


(2)
Density functional theory data (GGA-PBE) for an optimized crystal structure of EuErAlTl.

Unit cell a=7.5584 b=7.5584 c=7.5584 alpha=90.00 beta=90.00 gamma=90.00
Space group F-43m (No. 216)
One atom of each set of equivalent atoms:
Eu 0.0000 0.0000 0.0000
Er 0.0000 0.0000 0.5000
Al 0.2500 0.2500 0.7500
Tl 0.2500 0.2500 0.2500

- formation energy (eV/atom) = -0.2843


(3)
Density functional theory data (GGA-PBE) for an optimized crystal structure of TbYZnRh.

Unit cell a=7.0062 b=7.0062 c=7.0062 alpha=90.00 beta=90.00 gamma=90.00
Space group F-43m (No. 216)
One atom of each set of equivalent atoms:
Tb 0.0000 0.0000 0.0000
Y 0.0000 0.0000 0.5000
Zn 0.2500 0.2500 0.2500
Rh 0.2500 0.2500 0.7500

- formation energy (eV/atom) = -0.5963


(4)
Density functional theory data (GGA-PBE) for an optimized crystal structure of NiPOs4.

Unit cell a=7.2470 b=7.2470 c=7.2470 alpha=90.00 beta=90.00 gamma=90.00
Space group F-43m (No. 216)
One atom of each set of equivalent atoms:
Ni 0.0000 0.0000 0.0000
P 0.2500 0.2500 0.2500
Os 0.1252 0.1252 0.6252

- formation energy (eV/atom) = 1.1298


no.,E (eV per atom),V (Å³ per cell)
1,-4.71,4491.6
2,-5.52,431.8
3,-5.53,343.9
4,-8.22,380.6